No. 1
Below is crystalline CsTl3As3 at its relaxed geometry, with properties calculated at the GGA-PBE level.

```
CsTl3As3
1.0
4.748 2.741 6.083
-4.748 2.741 6.083
0.000 -5.482 6.083
Cs Tl As
2 6 6
Cartesian
0.000 0.000 2.351
0.000 0.000 15.897
-0.599 -1.891 6.002
-1.338 1.464 6.002
-1.937 -0.427 12.246
1.937 0.427 6.002
1.338 -1.464 12.246
0.599 1.891 12.246
-1.186 -2.089 8.916
-2.403 -0.017 9.333
-1.216 2.072 8.916
1.216 -2.072 9.333
2.403 0.017 8.916
1.186 2.089 9.333
```

Properties
**Total energy**: -45.1 eV for the cell shown
**Magnetic moment**: 0.00 μB per formula unit
**Symmetry**: No. 148
**Energy relative to the lowest polymorph listed for this composition**: 0.0 meV/atom
**Formation energy from the elements**: -89 meV per atom

No. 2
Below is crystalline Cs2Tl2As at its relaxed geometry, with properties calculated at the GGA-PBE level.

```
Cs2Tl2As
1.0
8.027 0.000 0.000
0.000 8.027 0.000
0.000 0.000 6.278
Cs Tl As
4 4 2
Cartesian
1.507 2.506 0.000
2.506 6.520 0.000
5.521 1.507 0.000
6.520 5.521 0.000
1.097 5.111 3.139
2.917 1.097 3.139
5.111 6.930 3.139
6.930 2.917 3.139
0.000 0.000 3.139
4.014 4.014 3.139
```

Properties
**Total energy**: -22.9 eV for the cell shown
**Magnetic moment**: 0.47 μB per formula unit
**Symmetry**: No. 127
**Energy relative to the lowest polymorph listed for this composition**: 146.8 meV/atom
**Formation energy from the elements**: -73 meV per atom

No. 3
Below is crystalline Cs2Tl2As at its relaxed geometry, with properties calculated at the GGA-PBE level.

```
Cs2Tl2As
1.0
6.639 -4.008 0.000
6.639 4.008 0.000
-2.730 0.000 7.842
Cs Tl As
4 4 2
Cartesian
1.855 0.567 1.032
0.490 -0.567 4.953
10.059 0.567 2.890
8.694 -0.567 6.811
3.981 0.943 4.314
5.203 0.943 7.450
5.346 -0.943 0.392
6.568 -0.943 3.529
5.957 1.509 1.961
4.592 -1.509 5.882
```

Properties
**Total energy**: -24.3 eV for the cell shown
**Magnetic moment**: 0.00 μB per formula unit
**Symmetry**: No. 15
**Energy relative to the lowest polymorph listed for this composition**: 3.3 meV/atom
**Formation energy from the elements**: -216 meV per atom

No. 4
Below is crystalline Cs2TlAs at its relaxed geometry, with properties calculated at the GGA-PBE level.

```
Cs2TlAs
1.0
0.000 4.377 4.377
4.377 0.000 4.377
4.377 4.377 0.000
Cs Tl As
2 1 1
Cartesian
2.188 2.188 2.188
6.565 6.565 6.565
0.000 0.000 0.000
4.377 4.377 4.377
```

Properties
**Total energy**: -8.8 eV for the cell shown
**Magnetic moment**: 0.00 μB per formula unit
**Symmetry**: No. 225
**Energy relative to the lowest polymorph listed for this composition**: 272.7 meV/atom
**Formation energy from the elements**: -27 meV per atom

No. 5
Below is crystalline CsTl2As2 at its relaxed geometry, with properties calculated at the GGA-PBE level.

```
CsTl2As2
1.0
9.322 0.000 0.000
0.000 9.322 0.000
0.000 0.000 3.457
Cs Tl As
2 4 4
Cartesian
0.000 0.000 0.000
4.661 4.661 0.000
1.205 3.456 0.000
3.456 8.117 0.000
5.866 1.205 0.000
8.117 5.866 0.000
1.517 6.178 1.728
3.144 1.517 1.728
6.178 7.805 1.728
7.805 3.144 1.728
```

Properties
**Total energy**: -29.5 eV for the cell shown
**Magnetic moment**: 0.00 μB per formula unit
**Symmetry**: No. 127
**Energy relative to the lowest polymorph listed for this composition**: 227.8 meV/atom
**Formation energy from the elements**: 27 meV per atom

No. 6
Below is crystalline Cs3TlAs at its relaxed geometry, with properties calculated at the GGA-PBE level.

```
Cs3TlAs
1.0
5.603 -8.137 0.000
5.603 8.137 0.000
0.000 0.000 5.820
Cs Tl As
6 2 2
Cartesian
5.603 5.990 4.365
3.380 2.465 4.365
3.380 -2.465 1.455
7.826 2.465 4.365
7.826 -2.465 1.455
5.603 -5.990 1.455
5.603 0.896 1.455
5.603 -0.896 4.365
5.603 3.704 1.455
5.603 -3.704 4.365
```

Properties
**Total energy**: -21.7 eV for the cell shown
**Magnetic moment**: 0.00 μB per formula unit
**Symmetry**: No. 63
**Energy relative to the lowest polymorph listed for this composition**: 0.0 meV/atom
**Formation energy from the elements**: -254 meV per atom

No. 7
Below is crystalline CsTl2As2 at its relaxed geometry, with properties calculated at the GGA-PBE level.

```
CsTl2As2
1.0
6.880 -2.184 0.000
6.880 2.184 0.000
-1.285 0.000 5.763
Cs Tl As
1 2 2
Cartesian
0.000 0.000 0.000
4.376 0.000 2.533
8.099 0.000 3.230
2.536 0.000 5.156
9.939 0.000 0.606
```

Properties
**Total energy**: -15.6 eV for the cell shown
**Magnetic moment**: 0.00 μB per formula unit
**Symmetry**: No. 12
**Energy relative to the lowest polymorph listed for this composition**: 63.7 meV/atom
**Formation energy from the elements**: -138 meV per atom

No. 8
Below is crystalline CsTl2As at its relaxed geometry, with properties calculated at the GGA-PBE level.

```
CsTl2As
1.0
2.363 1.364 8.009
-2.363 1.364 8.009
0.000 -2.729 8.009
Cs Tl As
1 2 1
Cartesian
0.000 0.000 0.000
0.000 0.000 13.409
0.000 0.000 18.768
0.000 0.000 4.107
```

Properties
**Total energy**: -10.9 eV for the cell shown
**Magnetic moment**: 0.00 μB per formula unit
**Symmetry**: No. 160
**Energy relative to the lowest polymorph listed for this composition**: 15.0 meV/atom
**Formation energy from the elements**: -159 meV per atom

No. 9
Below is crystalline Cs3Tl4As at its relaxed geometry, with properties calculated at the GGA-PBE level.

```
Cs3Tl4As
1.0
-3.842 6.591 3.946
3.842 -6.591 3.946
3.842 6.591 -3.946
Cs Tl As
3 4 1
Cartesian
0.000 0.000 0.000
3.842 2.827 -0.507
0.000 3.763 3.438
3.842 -2.086 3.595
2.224 6.591 -0.139
1.618 0.000 3.807
3.842 2.086 3.595
3.842 0.000 1.612
```

Properties
**Total energy**: -18.2 eV for the cell shown
**Magnetic moment**: 0.00 μB per formula unit
**Symmetry**: No. 44
**Formation energy from the elements**: -189 meV per atom

No. 10
Below is crystalline Cs2TlAs at its relaxed geometry, with properties calculated at the GGA-PBE level.

```
Cs2TlAs
1.0
5.551 0.000 0.000
0.103 6.415 0.000
0.232 3.148 5.715
Cs Tl As
2 1 1
Cartesian
0.000 0.000 0.000
2.201 6.363 3.812
3.914 3.252 1.449
1.157 3.144 2.144
```

Properties
**Total energy**: -9.5 eV for the cell shown
**Magnetic moment**: 0.00 μB per formula unit
**Symmetry**: No. 1
**Energy relative to the lowest polymorph listed for this composition**: 97.1 meV/atom
**Formation energy from the elements**: -202 meV per atom

No. 11
Below is crystalline CsTl3As3 at its relaxed geometry, with properties calculated at the GGA-PBE level.

```
CsTl3As3
1.0
7.969 0.000 0.000
0.000 7.969 0.000
0.000 0.000 7.969
Cs Tl As
2 6 6
Cartesian
0.000 0.000 0.000
3.984 3.984 3.984
0.000 1.992 3.984
0.000 5.976 3.984
1.992 3.984 0.000
3.984 0.000 1.992
3.984 0.000 5.976
5.976 3.984 0.000
0.000 3.984 1.992
0.000 3.984 5.976
1.992 0.000 3.984
3.984 1.992 0.000
3.984 5.976 0.000
5.976 0.000 3.984
```

Properties
**Total energy**: -44.4 eV for the cell shown
**Magnetic moment**: 0.00 μB per formula unit
**Symmetry**: No. 223
**Energy relative to the lowest polymorph listed for this composition**: 48.0 meV/atom
**Formation energy from the elements**: -41 meV per atom

Q: Among the records above, which one has the lowest total energy?
A: number 1

Q: Which of these has the highest total energy?
A: number 4

Q: The lowest formation energy from the elements belongs to which entry?
A: Cs3TlAs